Below is a relaxed structure of RbCoF2, with properties calculated at the PBE with a Hubbard U level.

Cell lengths 7.168, 7.168, 7.168 Å; angles 29.13, 29.13, 29.13 degrees
Element x y z (fractional)
Rb  0.000  0.000  0.000
Co  0.500  0.500  0.500
F  0.125  0.125  0.125
F  0.875  0.875  0.875

Values from the calculation:
SG: R-3m (166)
E above lowest polymorph, kJ/mol of formula units: 128.8